VASP calculation (PBE) on a relaxed structure of Na2In6Co.

Summary:
Final energy ... -25.62 eV per cell
Calculated formation energy ... 0.062 eV per atom
Total magnetization ... 0.52 Bohr magnetons per cell

Structure (CIF):
```
data_Na2In6Co
_chemical_formula_sum 'Na2 In6 Co1'
_space_group_name_H-M_alt 'P -6 2 m'
_space_group_IT_number 189
_space_group_name_Hall 'P -6 -2'
_cell_length_a 8.6849
_cell_length_b 8.6849
_cell_length_c 3.4485
_cell_angle_alpha 90.00
_cell_angle_beta 90.00
_cell_angle_gamma 120.00
loop_
_atom_site_label
_atom_site_type_symbol
_atom_site_fract_x
_atom_site_fract_y
_atom_site_fract_z
_atom_site_occupancy
Na1 Na 0.3333 0.6667 0.0000 1
In1 In 0.0000 0.2420 0.0000 1
In2 In 0.0000 0.6517 0.5000 1
Co1 Co 0.0000 0.0000 0.5000 1
```